K2InNi | Alexandria via LeMat-Bulk | PBE-GGA | optimized geometry; DFT total energy = -8.865 eV for the cell shown; DFT formation energy = 0.463 eV per atom; spin magnetization = 0.00 μB per cell; SG = I-4m2, No. 119
1.0
-3.181 -3.383 -2.856
-0.665 -3.177 4.381
-1.158 5.322 0.251
In K Ni
1 2 1
Cartesian
-3.131 -0.671 -0.922
-1.873 -0.568 2.697
0.000 0.000 0.000
-1.923 -3.280 0.762

Li3Y2USe6 | Alexandria via LeMat-Bulk | PBE-GGA | optimized geometry; DFT total energy = -68.959 eV for the cell shown; formation energy without anion corrections = -1.51 eV per atom; spin magnetization = 2.97 μB per cell; SG = C2/m, No. 12
1.0
7.058 -0.001 0.001
-3.528 6.113 0.001
-1.177 -2.038 6.529
Y Se U Li
2 6 1 3
Cartesian
3.528 2.038 0.001
0.002 4.074 0.001
-0.014 4.075 4.856
-1.183 2.050 1.674
0.006 0.011 4.855
2.367 0.000 1.674
3.537 2.025 4.856
2.347 4.064 1.675
0.000 0.000 0.000
1.177 2.037 3.265
-2.337 4.066 3.265
4.690 0.008 3.265

Tm5Rh6 | Alexandria via LeMat-Bulk | PBE-GGA | optimized geometry; DFT total energy = -74.843 eV for the cell shown; DFT formation energy = -0.761 eV per atom; spin magnetization = 0.00 μB per cell; SG = C2/m, No. 12
1.0
4.406 0.009 -1.354
-0.783 6.254 -2.509
0.101 -0.430 8.070
Tm Rh
5 6
Cartesian
2.482 4.080 0.225
1.242 1.752 3.982
-0.391 3.127 -1.254
2.759 0.781 1.085
0.965 5.052 3.122
3.664 0.276 4.014
0.060 5.557 0.193
1.989 1.715 -1.363
0.441 2.510 1.416
3.283 3.323 2.792
1.735 4.118 5.571

LiMgTaIr | Alexandria via LeMat-Bulk | PBE-GGA | optimized geometry; DFT total energy = -25.506 eV for the cell shown; DFT formation energy = -0.321 eV per atom; spin magnetization = 0.00 μB per cell; SG = F-43m, No. 216
1.0
4.443 0.000 0.000
2.221 3.848 0.000
2.221 1.283 3.627
Mg Li Ir Ta
1 1 1 1
Cartesian
2.221 1.283 0.907
0.000 0.000 0.000
4.443 2.565 1.814
6.664 3.848 2.721

CaUAl2O8 | Alexandria via LeMat-Bulk | PBE-GGA | optimized geometry; DFT total energy = -90.520 eV for the cell shown; formation energy without anion corrections = -2.51 eV per atom; spin magnetization = 2.05 μB per cell; SG = I-4m2, No. 119
1.0
-1.004 -2.396 -5.303
5.732 0.599 1.285
-2.349 -3.607 4.042
O Al Ca U
8 2 1 1
Cartesian
1.016 -4.334 -1.447
-2.000 -4.185 -1.093
-1.460 -3.593 1.611
1.484 -3.577 1.625
2.463 -2.424 -2.932
-0.198 -3.255 -3.358
2.272 -1.216 -0.254
-0.797 -2.030 -0.640
2.364 -0.899 -2.009
-0.494 -3.451 -1.635
0.000 0.000 0.000
2.874 -1.953 1.659

SiSb2Br | Alexandria via LeMat-Bulk | PBE-GGA | optimized geometry; DFT total energy = -14.470 eV for the cell shown; formation energy without anion corrections = 0.22 eV per atom; spin magnetization = 0.00 μB per cell; SG = R3m, No. 160
1.0
-0.926 -7.479 3.331
-0.719 -8.184 -0.628
2.657 -7.654 1.502
Sb Si Br
2 1 1
Cartesian
0.997 -22.996 4.147
0.241 -5.562 1.003
0.513 -11.832 2.133
0.776 -17.904 3.228

Sr2MgPdAu6 | Alexandria via LeMat-Bulk | PBE-GGA | optimized geometry; DFT total energy = -34.940 eV for the cell shown; DFT formation energy = -0.512 eV per atom; spin magnetization = 0.00 μB per cell; SG = C2/m, No. 12
1.0
9.421 -0.020 -0.037
0.012 5.516 -0.061
4.741 2.799 4.636
Au Pd Sr Mg
6 1 2 1
Cartesian
2.426 1.353 0.000
2.431 4.152 -0.031
11.744 4.144 4.568
11.749 6.942 4.537
6.112 2.770 2.281
8.063 5.525 2.257
0.000 0.000 0.000
9.802 2.760 2.094
4.372 5.535 2.443
4.717 2.748 -0.049

Pm4BHCl2 | Alexandria via LeMat-Bulk | PBE-GGA | optimized geometry; DFT total energy = -39.842 eV for the cell shown; spin magnetization = 0.00 μB per cell; SG = P2/m, No. 10
1.0
-2.232 -1.194 2.931
5.014 -3.260 2.489
0.239 6.767 2.940
Cl H Pm B
2 1 4 1
Cartesian
-0.996 2.786 2.935
2.626 1.754 2.715
1.391 -2.227 2.710
2.905 2.384 5.743
0.116 -0.072 2.617
1.473 4.509 2.959
3.780 -1.002 2.470
0.000 0.000 0.000

Zn4Pd2Au | Alexandria via LeMat-Bulk | PBE-GGA | optimized geometry; DFT total energy = -17.872 eV for the cell shown; DFT formation energy = 0.127 eV per atom; spin magnetization = 0.00 μB per cell; SG = I4/mmm, No. 139
1.0
-1.610 4.298 1.459
-2.038 0.698 -4.307
-3.511 -5.205 3.511
Zn Pd Au
4 2 1
Cartesian
-5.011 0.881 -0.178
-2.149 -1.090 0.840
-1.019 0.349 -2.154
-0.805 2.149 0.729
-4.213 -2.138 1.648
-2.947 1.929 -0.985
0.000 0.000 0.000

OsW2Au | Alexandria via LeMat-Bulk | PBE-GGA | optimized geometry; DFT total energy = -38.785 eV for the cell shown; DFT formation energy = 0.407 eV per atom; spin magnetization = 0.00 μB per cell; SG = P4mm, No. 99
1.0
3.317 0.000 0.000
0.000 3.317 0.000
0.000 0.000 5.913
Os W Au
1 2 1
Cartesian
1.659 1.659 4.581
1.659 1.659 1.400
0.000 0.000 5.842
0.000 0.000 2.960

RbHo4F12 | Alexandria via LeMat-Bulk | PBE-GGA | optimized geometry; DFT total energy = -106.929 eV for the cell shown; formation energy without anion corrections = -3.83 eV per atom; spin magnetization = 0.00 μB per cell; SG = Immm, No. 71
1.0
-6.097 -3.843 2.481
6.188 -2.334 3.790
-1.042 7.458 1.182
Ho F Rb
4 12 1
Cartesian
-0.476 0.640 3.727
-0.521 3.729 0.591
-3.048 -1.921 1.241
3.094 -1.167 1.895
-0.581 -0.927 5.274
-4.780 -1.047 2.289
1.359 -0.131 2.778
0.900 1.940 4.857
-1.852 -0.660 2.596
-3.037 -3.372 2.901
-5.240 1.056 4.335
3.829 2.328 5.165
2.085 4.653 4.553
-2.311 1.412 4.675
-0.371 2.208 2.180
4.289 0.225 3.118
2.573 2.562 2.486

Cu3B2Pt8 | Alexandria via LeMat-Bulk | PBE-GGA | optimized geometry; DFT total energy = -75.520 eV for the cell shown; DFT formation energy = -0.119 eV per atom; spin magnetization = 0.00 μB per cell; SG = C2/m, No. 12
1.0
3.923 -0.191 -0.350
0.000 7.053 -3.851
-0.626 -0.627 7.236
Pt B Cu
8 2 3
Cartesian
2.129 2.486 0.394
2.129 6.040 -1.546
3.117 5.326 1.371
3.218 2.035 3.727
0.079 4.200 -0.692
1.168 0.195 4.582
0.181 0.909 1.665
1.168 3.749 2.642
1.236 1.749 3.203
2.062 4.486 -0.167
1.962 -0.095 -0.175
0.000 1.580 -0.863
0.000 5.472 -2.988

| no. | DOS(E_F) (states/eV per atom) |
| --- | --- |
| 1 | 0.771 |
| 2 | 0.556 |
| 3 | 0.348 |
| 4 | 0.893 |
| 5 | 0.705 |
| 6 | 0.489 |
| 7 | 0.355 |
| 8 | 0.441 |
| 9 | 0.371 |
| 10 | 0.875 |
| 11 | 0.151 |
| 12 | 0.472 |